(1)
## Cs3KRb5 (PBE)

Data for Cs3KRb5 after structural relaxation.

abc: 13.8979 13.8979 5.2218
angles: 90.00 90.00 120.00
Space group P-62m (No. 189)
Asymmetric unit:
Cs (0.0000, 0.6370, 0.0000) (multiplicity 3)
K (0.0000, 0.0000, 0.0000) (multiplicity 1)
Rb (0.0000, 0.2933, 0.5000) (multiplicity 3)
Rb (0.3333, 0.6667, 0.5000) (multiplicity 2)

Computed properties:
Energy above the lowest structure with this stoichiometry: 0 meV/atom
DFT formation energy: 0.6 kJ per mole of atoms
Mass density: 1.6 Mg/m³
DOS at the Fermi energy: 9.192 states/eV per cell
Total magnetization: 0.00 Bohr magnetons per cell
DFT total energy: -0.94 eV/atom


(2)
## Cs3K5Rb3 (PBE)

Data for Cs3K5Rb3 after structural relaxation.

abc: 13.8756 13.8756 7.2564
angles: 90.00 90.00 120.00
Space group P-62m (No. 189)
Asymmetric unit:
Cs (0.0000, 0.7720, 0.0000) (multiplicity 3)
K (0.0000, 0.3722, 0.0000) (multiplicity 3)
K (0.3333, 0.6667, 0.0000) (multiplicity 2)
Rb (0.0000, 0.5391, 0.5000) (multiplicity 3)

Computed properties:
Energy above the lowest structure with this stoichiometry: 16 meV/atom
DFT formation energy: 13.2 kJ per mole of atoms
Mass density: 1.2 Mg/m³
DOS at the Fermi energy: 10.785 states/eV per cell
Total magnetization: 0.00 Bohr magnetons per cell
DFT total energy: -0.86 eV/atom


(3)
## Cs3K6Rb2 (PBE)

Data for Cs3K6Rb2 after structural relaxation.

abc: 15.7758 15.7758 15.7758
angles: 90.00 90.00 90.00
Space group Im-3m (No. 229)
Asymmetric unit:
Cs (0.0000, 0.0000, 0.2522) (multiplicity 12)
K (0.0000, 0.3543, 0.3543) (multiplicity 24)
Rb (0.2500, 0.2500, 0.2500) (multiplicity 8)

Computed properties:
DFT formation energy: 1.0 kJ per mole of atoms
Mass density: 1.4 Mg/m³
DOS at the Fermi energy: 34.347 states/eV per cell
Total magnetization: 0.00 Bohr magnetons per cell
DFT total energy: -1.00 eV/atom


(4)
## Cs4K2Rb3 (PBE)

Data for Cs4K2Rb3 after structural relaxation.

abc: 23.8135 17.0109 8.6860
angles: 90.00 97.23 90.00
Space group C2/c (No. 15)
Asymmetric unit:
Cs (0.0614, 0.1276, 0.0258) (multiplicity 8)
Cs (0.1171, 0.3829, 0.3147) (multiplicity 8)
K (0.2220, 0.3613, 0.8621) (multiplicity 8)
Rb (0.0000, 0.3741, 0.7500) (multiplicity 4)
Rb (0.1757, 0.1180, 0.5825) (multiplicity 8)

Computed properties:
DFT formation energy: 1.1 kJ per mole of atoms
Mass density: 1.6 Mg/m³
DOS at the Fermi energy: 33.777 states/eV per cell
Total magnetization: 0.00 Bohr magnetons per cell
DFT total energy: -0.93 eV/atom